## LiMoOs2 (GGA-PBE)

Data for a relaxed structure of LiMoOs2.

Values from the calculation:
For the formation energy, the calculation gives 1.324 eV per formula unit. Its density of states at the Fermi level is 1.63 states/eV/cell. The volume comes out at 14.41 Å³ per atom. Its size of the total moment is 0.00 Bohr magnetons per cell. As for the space-group type: P4mm, No. 99.

Unit cell a=2.735 b=2.735 c=7.705 alpha=90.00 beta=90.00 gamma=90.00
Atoms (fractional coordinates):
Mo: 0.500 0.500 0.745
Os: 0.500 0.500 0.249
Os: 0.000 0.000 0.022
Li: 0.000 0.000 0.484



## PmTm2Os (GGA-PBE)

Data for a relaxed structure of PmTm2Os.

Values from the calculation:
For the formation energy, the calculation gives -0.940 eV per formula unit. Its density of states at the Fermi level is 8.16 states/eV/cell. The volume comes out at 26.68 Å³ per atom. Its size of the total moment is 0.00 Bohr magnetons per cell. As for the space-group type: Cmcm, No. 63.

Unit cell a=3.953 b=6.353 c=8.943 alpha=90.00 beta=90.00 gamma=108.12
Atoms (fractional coordinates):
Tm: 0.648 0.297 0.067
Pm: 0.928 0.856 0.250
Tm: 0.648 0.297 0.433
Os: 0.256 0.512 0.250
Tm: 0.352 0.703 0.567
Os: 0.744 0.488 0.750
Pm: 0.072 0.144 0.750
Tm: 0.352 0.703 0.933



## TlCo2Tc (GGA-PBE)

Data for a relaxed structure of TlCo2Tc.

Values from the calculation:
For the formation energy, the calculation gives 2.754 eV per formula unit. Its density of states at the Fermi level is 6.50 states/eV/cell. The volume comes out at 15.07 Å³ per atom. Its size of the total moment is 4.76 Bohr magnetons per cell. As for the space-group type: F-43m, No. 216.

Unit cell a=4.401 b=4.401 c=4.401 alpha=60.00 beta=60.00 gamma=60.00
Last column: magnetic moment on the atom in μB.
Atoms (fractional coordinates):
Co: 0.750 0.750 0.750  1.95
Co: 0.000 0.000 0.000  1.55
Tc: 0.500 0.500 0.500  1.28
Tl: 0.250 0.250 0.250  0.00



## Ag3PtAu3 (GGA-PBE)

Data for a relaxed structure of Ag3PtAu3.

Values from the calculation:
For the formation energy, the calculation gives 1.175 eV per formula unit. Its density of states at the Fermi level is 4.73 states/eV/cell. The volume comes out at 19.59 Å³ per atom. Its size of the total moment is 0.00 Bohr magnetons per cell. As for the space-group type: C2/m, No. 12.

Unit cell a=6.422 b=6.422 c=7.187 alpha=92.53 beta=92.53 gamma=111.87
Atoms (fractional coordinates):
Au: 0.504 0.004 0.247
Pt: 0.754 0.754 0.750
Ag: 0.130 0.870 0.500
Au: 0.872 0.872 0.126
Au: 0.996 0.496 0.753
Au: 0.128 0.128 0.874
Pt: 0.246 0.246 0.250
Au: 0.004 0.504 0.247
Ag: 0.629 0.371 0.000
Au: 0.496 0.996 0.753
Ag: 0.371 0.629 0.000
Ag: 0.870 0.130 0.500
Ag: 0.623 0.623 0.375
Ag: 0.377 0.377 0.625